A plane-wave DFT calculation with SCAN was carried out for a crystal of GeAs2Au relaxed with PBEsol.

Cell lengths 5.8130, 5.8130, 6.9201 Å; angles 114.84, 114.84, 90.00 degrees
Fractional positions:
As: 0.1250 0.1281 0.7500
As: 0.6250 0.6219 0.7500
As: 0.3781 0.8750 0.2500
As: 0.8719 0.3750 0.2500
Au: 0.0000 0.0000 0.0000
Au: 0.2500 0.7500 0.5000
Ge: 0.7500 0.2500 0.5000
Ge: 0.5000 0.5000 0.0000

Computed properties:
- DFT formation energy: -0.039 eV per atom
- Raw total energy: -128.8 eV per formula unit
- D(E_F): 3.11 states/eV/cell

=====

A plane-wave DFT calculation with SCAN was carried out for a crystal of ZnIn3 relaxed with PBEsol.

Cell lengths 3.2413, 3.2413, 8.5904 Å; angles 90.00, 90.00, 90.00 degrees
Fractional positions:
In: 0.0000 0.0000 0.7190
In: 0.5000 0.5000 0.0000
In: 0.0000 0.0000 0.2810
Zn: 0.5000 0.5000 0.5000

Computed properties:
- DFT formation energy: 0.120 eV per atom
- Raw total energy: -113.2 eV per formula unit
- D(E_F): 1.16 states/eV/cell

=====

A plane-wave DFT calculation with SCAN was carried out for a crystal of MnCoCuRh2 relaxed with PBEsol.

Cell lengths 4.2744, 4.3517, 4.3517 Å; angles 90.00, 90.00, 90.00 degrees
Fractional positions:
Co: 0.0000 0.0000 0.0000
Rh: 0.0000 0.0000 0.5000
Rh: 0.0000 0.5000 0.0000
Mn: 0.5000 0.0000 0.0000
Cu: 0.5000 0.5000 0.5000

Computed properties:
- DFT formation energy: 0.919 eV per atom
- Raw total energy: -113.7 eV per formula unit
- D(E_F): 3.19 states/eV/cell

=====

A plane-wave DFT calculation with SCAN was carried out for a crystal of ScPPb relaxed with PBEsol.

Cell lengths 3.5483, 3.5483, 5.9926 Å; angles 107.22, 107.22, 90.00 degrees
Fractional positions:
Pb: 0.3213 0.3213 0.6426
P: 0.0670 0.0670 0.1340
Sc: 0.6117 0.6117 0.2235

Computed properties:
- DFT formation energy: -0.748 eV per atom
- Raw total energy: -102.7 eV per formula unit
- D(E_F): 0.93 states/eV/cell
- Excess energy over the best structure of this formula in the dataset: 0.000 eV per atom

=====

A plane-wave DFT calculation with SCAN was carried out for a crystal of Y2PSe relaxed with PBEsol.

Cell lengths 3.9216, 3.9216, 6.6256 Å; angles 107.21, 107.21, 90.00 degrees
Fractional positions:
Se: 0.2500 0.7500 0.5000
Y: 0.0000 0.0000 0.0000
Y: 0.7500 0.2500 0.5000
P: 0.5000 0.5000 0.0000

Computed properties:
- Raw total energy: -91.6 eV per formula unit
- D(E_F): 1.70 states/eV/cell
- Uncorrected formation energy: -1.357 eV per atom
- Excess energy over the best structure of this formula in the dataset: 0.680 eV per atom

=====

A plane-wave DFT calculation with SCAN was carried out for a crystal of LaFeCo2 relaxed with PBEsol.

Cell lengths 3.9938, 3.9938, 5.3912 Å; angles 68.26, 68.26, 60.00 degrees
Fractional positions:
Fe: 0.5000 0.5000 0.5000
Co: 0.1878 0.1878 0.4365
Co: 0.8122 0.8122 0.5635
La: 0.0000 0.0000 0.0000

Computed properties:
- DFT formation energy: 0.034 eV per atom
- Raw total energy: -95.7 eV per formula unit
- D(E_F): 3.29 states/eV/cell

=====

A plane-wave DFT calculation with SCAN was carried out for a crystal of K3HS2O8 relaxed with PBEsol.

Cell lengths 5.6868, 7.8573, 9.7093 Å; angles 102.45, 90.00, 111.22 degrees
Fractional positions:
O: 0.0736 0.2580 0.3905
O: 0.3645 0.6903 0.0975
O: 0.3084 0.9814 0.5604
O: 0.4139 0.3075 0.1176
O: 0.6743 0.3097 0.4025
O: 0.9264 0.7420 0.6095
O: 0.6355 0.3097 0.9025
O: 0.3257 0.6903 0.5975
O: 0.5861 0.6925 0.8824
O: 0.3270 0.0186 0.9396
O: 0.8936 0.3075 0.6176
O: 0.1064 0.6925 0.3824
O: 0.6730 0.9814 0.0604
O: 0.1843 0.2580 0.8905
O: 0.6916 0.0186 0.4396
O: 0.8157 0.7420 0.1095
K: 0.4196 0.3838 0.6520
K: 0.5804 0.6162 0.3480
K: 0.9642 0.3838 0.1520
K: 0.2496 0.0000 0.2500
K: 0.0358 0.6162 0.8480
K: 0.7504 0.0000 0.7500
S: 0.6084 0.7674 0.0372
S: 0.8410 0.2326 0.4628
S: 0.1590 0.7674 0.5372
S: 0.3916 0.2326 0.9628
H: 0.5000 0.0000 0.5000
H: 0.5000 0.0000 0.0000

Computed properties:
- Raw total energy: -124.7 eV per formula unit
- D(E_F): 0.00 states/eV/cell

=====

A plane-wave DFT calculation with SCAN was carried out for a crystal of ZrOF2 relaxed with PBEsol.

Cell lengths 3.1900, 3.1900, 8.9782 Å; angles 79.77, 79.77, 60.00 degrees
Fractional positions:
Zr: 0.0000 0.0000 0.0000
F: 0.0726 0.0726 0.7822
F: 0.9274 0.9274 0.2178
O: 0.5000 0.5000 0.5000

Computed properties:
- Raw total energy: -48.5 eV per formula unit
- D(E_F): 1.45 states/eV/cell
- Uncorrected formation energy: -1.112 eV per atom